1.
Here is an optimized crystal structure of P3Ir2Au from Alexandria via LeMat-Bulk. Energies are from GGA-PBE.

excess energy over the best structure of this formula in the dataset: 1.00 eV/f.u.
mass density: 11.16 g/cm³
total energy: -6.3025 eV/atom
ΔE_f: -0.098 eV/atom

The structure in CIF format:
```
data_P3Ir2Au
_cell_length_a 5.575
_cell_length_b 6.209
_cell_length_c 6.209
_cell_angle_alpha 27.84
_cell_angle_beta 90.00
_cell_angle_gamma 90.00
_symmetry_space_group_name_H-M 'P 1'
_symmetry_Int_Tables_number 1
loop_
_symmetry_equiv_pos_as_xyz
'x,y,z'
loop_
_atom_site_label
_atom_site_type_symbol
_atom_site_fract_x
_atom_site_fract_y
_atom_site_fract_z
P1 P 0.000 0.000 0.000
P2 P 0.205 0.253 0.253
P3 P 0.795 0.253 0.253
Ir1 Ir 0.261 0.605 0.605
Ir2 Ir 0.739 0.605 0.605
Au1 Au 0.500 0.406 0.406
```


2.
Here is an optimized crystal structure of Er3ThSc3 from Alexandria via LeMat-Bulk. Energies are from GGA-PBE.

excess energy over the best structure of this formula in the dataset: 1.31 eV/f.u.
mass density: 7.07 g/cm³
total energy: -5.5131 eV/atom
ΔE_f: 0.216 eV/atom

The structure in CIF format:
```
data_Er3ThSc3
_cell_length_a 6.587
_cell_length_b 6.587
_cell_length_c 9.735
_cell_angle_alpha 93.25
_cell_angle_beta 93.25
_cell_angle_gamma 104.17
_symmetry_space_group_name_H-M 'P 1'
_symmetry_Int_Tables_number 1
loop_
_symmetry_equiv_pos_as_xyz
'x,y,z'
loop_
_atom_site_label
_atom_site_type_symbol
_atom_site_fract_x
_atom_site_fract_y
_atom_site_fract_z
Er1 Er 0.158 0.842 0.000
Er2 Er 0.230 0.770 0.500
Er3 Er 0.375 0.375 0.144
Er4 Er 0.625 0.625 0.856
Er5 Er 0.770 0.230 0.500
Er6 Er 0.842 0.158 0.000
Th1 Th 0.301 0.301 0.531
Th2 Th 0.699 0.699 0.469
Sc1 Sc 0.012 0.012 0.281
Sc2 Sc 0.081 0.487 0.775
Sc3 Sc 0.487 0.081 0.775
Sc4 Sc 0.513 0.919 0.225
Sc5 Sc 0.919 0.513 0.225
Sc6 Sc 0.988 0.988 0.719
```


3.
Here is an optimized crystal structure of CsBaAcBr6 from Alexandria via LeMat-Bulk. Energies are from GGA-PBE.

mass density: 3.56 g/cm³
total energy: -3.9189 eV/atom

The structure in CIF format:
```
data_CsBaAcBr6
_cell_length_a 8.374
_cell_length_b 8.374
_cell_length_c 14.993
_cell_angle_alpha 90.00
_cell_angle_beta 90.00
_cell_angle_gamma 120.00
_symmetry_space_group_name_H-M 'P 1'
_symmetry_Int_Tables_number 1
loop_
_symmetry_equiv_pos_as_xyz
'x,y,z'
loop_
_atom_site_label
_atom_site_type_symbol
_atom_site_fract_x
_atom_site_fract_y
_atom_site_fract_z
Cs1 Cs 0.000 0.000 0.000
Cs2 Cs 0.000 0.000 0.500
Ba1 Ba 0.333 0.667 0.250
Ba2 Ba 0.667 0.333 0.750
Ac1 Ac 0.333 0.667 0.750
Ac2 Ac 0.667 0.333 0.250
Br1 Br 0.018 0.380 0.636
Br2 Br 0.018 0.637 0.864
Br3 Br 0.363 0.380 0.864
Br4 Br 0.363 0.982 0.636
Br5 Br 0.380 0.018 0.136
Br6 Br 0.380 0.363 0.364
Br7 Br 0.620 0.637 0.636
Br8 Br 0.620 0.982 0.864
Br9 Br 0.637 0.018 0.364
Br10 Br 0.637 0.620 0.136
Br11 Br 0.982 0.363 0.136
Br12 Br 0.982 0.620 0.364
```